[1]
A relaxed TiGaB2O crystal. Source: Alexandria via LeMat-Bulk, functional PBE.

Unit cell a=3.8395 b=3.8280 c=3.8395 alpha=90.00 beta=90.00 gamma=90.00
Atoms (fractional coordinates):
B1 0.0000 0.0000 0.5000
B2 0.5000 0.0000 0.0000
O1 0.0000 0.0000 0.0000
Ga1 0.5000 0.5000 0.5000
Ti1 0.0000 0.5000 0.0000

Calculated values
**Formation energy without anion corrections**: 0.453 eV/atom
**Calculated density**: 4.6 Mg/m³
**V**: 56.4 Å³ per cell
**Crystal system**: tetragonal
**D(E_F)**: 3.0 states/eV per cell
**Magnetic moment**: 0.000 μB per atom

---

[2]
A relaxed Pm2SmHo crystal. Source: Alexandria via LeMat-Bulk, functional PBE.

Unit cell a=4.2386 b=4.2386 c=7.4539 alpha=90.00 beta=90.00 gamma=90.00
Atoms (fractional coordinates):
Ho1 0.5000 0.5000 0.0000
Sm1 0.5000 0.5000 0.5000
Pm1 0.0000 0.0000 0.7552
Pm2 0.0000 0.0000 0.2448

Calculated values
**Calculated density**: 7.5 Mg/m³
**Calculated formation energy**: 0.114 eV per atom
**V**: 133.9 Å³ per cell
**Crystal system**: tetragonal
**D(E_F)**: 8.6 states/eV per cell
**Magnetic moment**: 0.000 μB per atom

---

[3]
A relaxed K3Ca2CdF9 crystal. Source: Alexandria via LeMat-Bulk, functional PBE.

Unit cell a=6.3241 b=6.3241 c=7.7544 alpha=90.00 beta=90.00 gamma=120.00
Atoms (fractional coordinates):
K1 0.3333 0.6667 0.6546
K2 0.0000 0.0000 0.0000
K3 0.6667 0.3333 0.3454
Ca1 0.3333 0.6667 0.1647
Ca2 0.6667 0.3333 0.8353
Cd1 0.0000 0.0000 0.5000
F1 0.8321 0.1679 0.6651
F2 0.8321 0.6641 0.6651
F3 0.3359 0.1679 0.6651
F4 0.6641 0.8321 0.3349
F5 0.1679 0.3359 0.3349
F6 0.1679 0.8321 0.3349
F7 0.5000 0.0000 0.0000
F8 0.0000 0.5000 0.0000
F9 0.5000 0.5000 0.0000

Calculated values
**Formation energy without anion corrections**: -3.114 eV/atom
**Calculated density**: 3.0 Mg/m³
**V**: 268.6 Å³ per cell
**Crystal system**: trigonal
**D(E_F)**: 0.0 states/eV per cell
**Magnetic moment**: 0.000 μB per atom

---

Question: Which of these has the highest D(E_F)?
Answer: Pm2SmHo

---

What did the third record say?
A relaxed K3Ca2CdF9 crystal. Source: Alexandria via LeMat-Bulk, functional PBE.

Unit cell a=6.3241 b=6.3241 c=7.7544 alpha=90.00 beta=90.00 gamma=120.00
Atoms (fractional coordinates):
K1 0.3333 0.6667 0.6546
K2 0.0000 0.0000 0.0000
K3 0.6667 0.3333 0.3454
Ca1 0.3333 0.6667 0.1647
Ca2 0.6667 0.3333 0.8353
Cd1 0.0000 0.0000 0.5000
F1 0.8321 0.1679 0.6651
F2 0.8321 0.6641 0.6651
F3 0.3359 0.1679 0.6651
F4 0.6641 0.8321 0.3349
F5 0.1679 0.3359 0.3349
F6 0.1679 0.8321 0.3349
F7 0.5000 0.0000 0.0000
F8 0.0000 0.5000 0.0000
F9 0.5000 0.5000 0.0000

Calculated values
**Formation energy without anion corrections**: -3.114 eV/atom
**Calculated density**: 3.0 Mg/m³
**V**: 268.6 Å³ per cell
**Crystal system**: trigonal
**D(E_F)**: 0.0 states/eV per cell
**Magnetic moment**: 0.000 μB per atom

---

Question: The highest calculated density belongs to which entry?
Answer: Pm2SmHo